This record from Alexandria via LeMat-Bulk describes LiCr2Mo after structural relaxation. The functional is PBE.

Results
As for the energy relative to the elements: 217 kJ/mol of formula units. For the calculated volume, the calculation gives 56 Å³/f.u. Its total magnetization is 0.187 μB/cell. The energy above the most stable polymorph in this dataset comes out at 267 meV/atom.

Unit cell a=2.6051 b=2.6051 c=28.4260 alpha=90.00 beta=90.00 gamma=120.00
Space group R-3m (No. 166, hexagonal axes)
Symmetry-distinct sites (fractional):
1 Li 0.0000 0.0000 0.0000 (multiplicity 3)
2 Cr 0.0000 0.0000 0.2496 (multiplicity 6)
3 Mo 0.0000 0.0000 0.5000 (multiplicity 3)